(1)
## HfBe2In (PBE)

Data for a geometry-optimized HfBe2In structure.

CIF file:
```
data_HfBe2In
_symmetry_space_group_name_H-M 'I -4 2 d'
_symmetry_Int_Tables_number 122
_symmetry_space_group_name_Hall 'I -4 2bw'
_cell_length_a 4.190
_cell_length_b 4.190
_cell_length_c 16.476
_cell_angle_alpha 90.00
_cell_angle_beta 90.00
_cell_angle_gamma 90.00
loop_
_atom_site_label
_atom_site_fract_x
_atom_site_fract_y
_atom_site_fract_z
Hf1 0.000 0.000 0.000
Be1 0.048 0.250 0.625
In1 0.000 0.000 0.500
```

calculated total energy: -17.53 eV/f.u.
magnetic moment: 0.00 μB/f.u.
formation energy: 0.65 eV per atom


(2)
## NaHf2BeIn (PBE)

Data for a geometry-optimized NaHf2BeIn structure.

CIF file:
```
data_NaHf2BeIn
_symmetry_space_group_name_H-M 'P 4/m m m'
_symmetry_Int_Tables_number 123
_symmetry_space_group_name_Hall '-P 4 2'
_cell_length_a 4.805
_cell_length_b 4.805
_cell_length_c 4.669
_cell_angle_alpha 90.00
_cell_angle_beta 90.00
_cell_angle_gamma 90.00
loop_
_atom_site_label
_atom_site_fract_x
_atom_site_fract_y
_atom_site_fract_z
Na1 0.000 0.000 0.000
Hf1 0.000 0.500 0.500
Be1 0.500 0.500 0.500
In1 0.500 0.500 0.000
```

calculated total energy: -25.29 eV/f.u.
magnetic moment: 0.00 μB/f.u.
formation energy: 0.48 eV per atom


no.,theoretical density (g/cm³),V (A^3/atom)
1,7.1,18.1
2,7.8,21.6